1.
Entry from Alexandria via LeMat-Bulk: HoThAlAg after structural relaxation (PBE-GGA).

Structure (extended XYZ):
```
4
Lattice="0.000 3.695 3.695 3.695 0.000 3.695 3.695 3.695 0.000" Properties=species:S:1:pos:R:3 pbc="T T T"
Ho 0.000 0.000 0.000
Th 3.695 3.695 3.695
Al 1.848 1.848 1.848
Ag 5.543 5.543 5.543
```

Values from the calculation:
Size of the total moment   0.00 μB per formula unit
DFT total energy   -4.85 eV per atom
Formation enthalpy at 0 K   -0.204 eV per atom
Space-group type   No. 216

=====

2.
Entry from Alexandria via LeMat-Bulk: YHoAlAg after structural relaxation (PBE-GGA).

Structure (extended XYZ):
```
4
Lattice="3.550 0.000 0.000 0.000 3.550 0.000 0.000 0.000 7.539" Properties=species:S:1:pos:R:3 pbc="T T T"
Y 0.000 0.000 0.000
Ho 0.000 0.000 3.772
Al 1.775 1.775 1.897
Ag 1.775 1.775 5.609
```

Values from the calculation:
Size of the total moment   0.00 μB per formula unit
DFT total energy   -4.78 eV per atom
Excess energy over the best structure of this formula in the dataset   0 meV per atom
Formation enthalpy at 0 K   -0.373 eV per atom
Space-group type   No. 99

=====

3.
Entry from Alexandria via LeMat-Bulk: YHoAlAg after structural relaxation (PBE-GGA).

Structure (extended XYZ):
```
4
Lattice="0.000 3.640 3.640 3.640 0.000 3.640 3.640 3.640 0.000" Properties=species:S:1:pos:R:3 pbc="T T T"
Y 0.000 0.000 0.000
Ho 3.640 3.640 3.640
Al 5.460 5.460 5.460
Ag 1.820 1.820 1.820
```

Values from the calculation:
Size of the total moment   0.00 μB per formula unit
DFT total energy   -4.77 eV per atom
Excess energy over the best structure of this formula in the dataset   15 meV per atom
Formation enthalpy at 0 K   -0.357 eV per atom
Space-group type   No. 216

=====

4.
Entry from Alexandria via LeMat-Bulk: Ho2Al4Zn3Ag after structural relaxation (PBE-GGA).

Structure (extended XYZ):
```
10
Lattice="4.161 0.000 0.000 0.000 4.161 0.000 0.000 0.000 10.868" Properties=species:S:1:pos:R:3 pbc="T T T"
Ho 0.000 2.081 2.656
Ho 2.081 0.000 8.212
Al 0.000 0.000 0.000
Al 0.000 2.081 6.946
Al 2.081 0.000 3.922
Al 2.081 2.081 0.000
Zn 0.000 2.081 9.363
Zn 2.081 0.000 1.505
Zn 2.081 2.081 5.434
Ag 0.000 0.000 5.434
```

Values from the calculation:
Size of the total moment   0.00 μB per formula unit
DFT total energy   -3.42 eV per atom
Formation enthalpy at 0 K   -0.345 eV per atom
Space-group type   No. 115

=====

5.
Entry from Alexandria via LeMat-Bulk: HoAl2Zn8Ag after structural relaxation (PBE-GGA).

Structure (extended XYZ):
```
12
Lattice="4.053 -2.556 0.000 4.053 2.556 0.000 -1.268 0.000 10.108" Properties=species:S:1:pos:R:3 pbc="T T T"
Ho 0.000 0.000 0.000
Al 2.582 0.000 1.688
Al 4.257 0.000 8.420
Zn 2.314 1.295 7.093
Zn 1.438 0.000 9.074
Zn 2.150 0.000 4.691
Zn 4.525 1.295 3.015
Zn 2.314 -1.295 7.093
Zn 4.688 0.000 5.417
Zn 5.400 0.000 1.034
Zn 4.525 -1.295 3.015
Ag -0.634 0.000 5.054
```

Values from the calculation:
Size of the total moment   0.00 μB per formula unit
DFT total energy   -2.14 eV per atom
Formation enthalpy at 0 K   -0.049 eV per atom
Space-group type   No. 12

=====

6.
Entry from Alexandria via LeMat-Bulk: HoAl3ZnAg after structural relaxation (PBE-GGA).

Structure (extended XYZ):
```
12
Lattice="2.961 -6.404 0.000 2.961 6.404 0.000 0.000 0.000 6.239" Properties=species:S:1:pos:R:3 pbc="T T T"
Ho 2.961 3.970 4.679
Ho 2.961 -3.970 1.560
Al 1.299 0.000 0.000
Al 1.299 0.000 3.120
Al 2.961 1.646 1.560
Al 2.961 -1.646 4.679
Al 4.623 0.000 0.000
Al 4.623 0.000 3.120
Zn 2.961 1.219 4.679
Zn 2.961 -1.219 1.560
Ag 2.961 4.347 1.560
Ag 2.961 -4.347 4.679
```

Values from the calculation:
Size of the total moment   0.00 μB per formula unit
DFT total energy   -3.39 eV per atom
Formation enthalpy at 0 K   -0.065 eV per atom
Space-group type   No. 63

=====

7.
Entry from Alexandria via LeMat-Bulk: HoAl2ZnAg4 after structural relaxation (PBE-GGA).

Structure (extended XYZ):
```
8
Lattice="2.251 1.300 8.495 -2.251 1.300 8.495 0.000 -2.599 8.495" Properties=species:S:1:pos:R:3 pbc="T T T"
Ho 0.000 0.000 0.000
Al 0.000 0.000 6.366
Al 0.000 0.000 19.119
Zn 0.000 0.000 12.743
Ag 0.000 0.000 3.358
Ag 0.000 0.000 10.100
Ag 0.000 0.000 15.385
Ag 0.000 0.000 22.127
```

Values from the calculation:
Size of the total moment   0.00 μB per formula unit
DFT total energy   -3.25 eV per atom
Formation enthalpy at 0 K   -0.157 eV per atom
Space-group type   No. 166

=====

8.
Entry from Alexandria via LeMat-Bulk: HoAlZn2Ag4 after structural relaxation (PBE-GGA).

Structure (extended XYZ):
```
8
Lattice="2.269 1.310 8.325 -2.269 1.310 8.325 0.000 -2.620 8.325" Properties=species:S:1:pos:R:3 pbc="T T T"
Ho 0.000 0.000 0.000
Al 0.000 0.000 12.487
Zn 0.000 0.000 6.341
Zn 0.000 0.000 18.632
Ag 0.000 0.000 3.264
Ag 0.000 0.000 9.868
Ag 0.000 0.000 15.106
Ag 0.000 0.000 21.710
```

Values from the calculation:
Size of the total moment   0.00 μB per formula unit
DFT total energy   -2.91 eV per atom
Formation enthalpy at 0 K   -0.127 eV per atom
Space-group type   No. 166

=====

9.
Entry from Alexandria via LeMat-Bulk: HoAlZnAg6 after structural relaxation (PBE-GGA).

Structure (extended XYZ):
```
18
Lattice="-3.689 4.511 5.477 3.689 -4.511 5.477 3.689 4.511 -5.477" Properties=species:S:1:pos:R:3 pbc="T T T"
Ho 0.000 2.256 2.244
Ho 3.689 2.256 3.233
Al 1.844 2.256 -2.739
Al 1.844 -2.256 2.739
Zn 0.000 0.000 0.000
Zn 0.000 4.511 0.000
Ag 2.271 0.114 1.408
Ag 5.107 0.114 1.408
Ag 3.689 -2.256 4.476
Ag 3.689 2.256 -0.120
Ag 2.271 4.625 -1.408
Ag 1.418 0.114 4.069
Ag 2.271 4.397 1.408
Ag 1.418 -0.114 6.885
Ag 0.000 2.256 5.597
Ag 0.000 6.767 1.001
Ag -1.418 4.397 4.069
Ag 1.418 4.397 4.069
```

Values from the calculation:
Size of the total moment   0.00 μB per formula unit
DFT total energy   -2.92 eV per atom
Formation enthalpy at 0 K   0.049 eV per atom
Space-group type   No. 74

=====

10.
Entry from Alexandria via LeMat-Bulk: HoZrAlAg after structural relaxation (PBE-GGA).

Structure (extended XYZ):
```
4
Lattice="0.000 3.524 3.524 3.524 0.000 3.524 3.524 3.524 0.000" Properties=species:S:1:pos:R:3 pbc="T T T"
Ho 0.000 0.000 0.000
Zr 3.524 3.524 3.524
Al 5.286 5.286 5.286
Ag 1.762 1.762 1.762
```

Values from the calculation:
Size of the total moment   0.81 μB per formula unit
DFT total energy   -5.14 eV per atom
Formation enthalpy at 0 K   -0.212 eV per atom
Space-group type   No. 216

=====

11.
Entry from Alexandria via LeMat-Bulk: AlAgI6 after structural relaxation (PBE-GGA).

Structure (extended XYZ):
```
8
Lattice="4.610 -4.889 0.000 4.610 4.889 0.000 -1.096 0.000 7.525" Properties=species:S:1:pos:R:3 pbc="T T T"
Al 0.000 0.000 0.000
Ag -0.548 0.000 3.762
I 3.094 2.981 5.483
I 5.031 2.981 2.042
I 1.564 0.000 7.005
I 6.561 0.000 0.520
I 3.094 -2.981 5.483
I 5.031 -2.981 2.042
```

Values from the calculation:
Size of the total moment   0.00 μB per formula unit
DFT total energy   -2.25 eV per atom
Energy relative to the elements, uncorrected   -2.12 eV per formula unit
Space-group type   No. 12

=====

12.
Entry from Alexandria via LeMat-Bulk: AlAg3I after structural relaxation (PBE-GGA).

Structure (extended XYZ):
```
5
Lattice="5.073 0.000 0.000 0.000 5.073 0.000 0.000 0.000 5.073" Properties=species:S:1:pos:R:3 pbc="T T T"
Al 0.000 0.000 0.000
Ag 0.000 0.000 2.536
Ag 0.000 2.536 0.000
Ag 2.536 0.000 0.000
I 2.536 2.536 2.536
```

Values from the calculation:
Size of the total moment   0.00 μB per formula unit
DFT total energy   -2.30 eV per atom
Excess energy over the best structure of this formula in the dataset   0 meV per atom
Energy relative to the elements, uncorrected   2.35 eV per formula unit
Space-group type   No. 221

=====

Copy entry 8 word for word.
Entry from Alexandria via LeMat-Bulk: HoAlZn2Ag4 after structural relaxation (PBE-GGA).

Structure (extended XYZ):
```
8
Lattice="2.269 1.310 8.325 -2.269 1.310 8.325 0.000 -2.620 8.325" Properties=species:S:1:pos:R:3 pbc="T T T"
Ho 0.000 0.000 0.000
Al 0.000 0.000 12.487
Zn 0.000 0.000 6.341
Zn 0.000 0.000 18.632
Ag 0.000 0.000 3.264
Ag 0.000 0.000 9.868
Ag 0.000 0.000 15.106
Ag 0.000 0.000 21.710
```

Values from the calculation:
Size of the total moment   0.00 μB per formula unit
DFT total energy   -2.91 eV per atom
Formation enthalpy at 0 K   -0.127 eV per atom
Space-group type   No. 166

=====

Q: What is the DFT total energy in the fourth record?
A: -3.42 eV per atom

=====

Q: Which formula does entry 1 have?
A: HoThAlAg

=====

Q: What is the DFT total energy in the eighth record?
A: -2.91 eV per atom